(1)
# RbSmBiTe3

A relaxed RbSmBiTe3 crystal (GGA-PBE, OQMD).

Output
Magnetization in μB/f.u.: 0.01
Crystal system: orthorhombic
Mass density in kg/m³: 5840

Lattice parameters (Å, degrees): 4.544 17.498 11.840 90.00 90.00 90.00
Space group Cmcm (No. 63)
Asymmetric unit:
Rb  0.000  0.237  0.250
Sm  0.000  0.000  0.000
Bi  0.000  0.463  0.750
Te  0.000  0.092  0.750
Te  0.000  0.373  0.531

(2)
# RbTaBi

A relaxed RbTaBi crystal (GGA-PBE, OQMD).

Output
Energy above the lowest structure with this stoichiometry in meV per atom: 0
Magnetization in μB/f.u.: 2.97
Crystal system: cubic
Mass density in kg/m³: 7874

Lattice parameters (Å, degrees): 7.374 7.374 7.374 90.00 90.00 90.00
Space group F-43m (No. 216)
Asymmetric unit:
Rb  0.000  0.000  0.000
Ta  0.250  0.250  0.750
Bi  0.000  0.000  0.500

(3)
# RbTa3Bi5

A relaxed RbTa3Bi5 crystal (GGA-PBE, OQMD).

Output
Magnetization in μB/f.u.: 0.00
Crystal system: hexagonal
Mass density in kg/m³: 10090

Lattice parameters (Å, degrees): 5.9022 5.9022 9.1275 90.00 90.00 120.00
Space group P6/mmm (No. 191)
Asymmetric unit:
Rb  0.0000  0.0000  0.0000
Ta  0.0000  0.5000  0.5000
Bi  0.0000  0.0000  0.5000
Bi  0.3333  0.6667  0.2278

(4)
# RbTaBi

A relaxed RbTaBi crystal (GGA-PBE, OQMD).

Output
Energy above the lowest structure with this stoichiometry in meV per atom: 771
Magnetization in μB/f.u.: 2.99
Crystal system: cubic
Mass density in kg/m³: 7232

Lattice parameters (Å, degrees): 7.586 7.586 7.586 90.00 90.00 90.00
Space group F-43m (No. 216)
Asymmetric unit:
Rb  0.000  0.000  0.000
Ta  0.250  0.250  0.250
Bi  0.250  0.250  0.750

(5)
# RbTbBiTe3

A relaxed RbTbBiTe3 crystal (GGA-PBE, OQMD).

Output
Magnetization in μB/f.u.: 0.03
Crystal system: orthorhombic
Mass density in kg/m³: 6021

Lattice parameters (Å, degrees): 4.452 17.428 11.889 90.00 90.00 90.00
Space group Cmcm (No. 63)
Asymmetric unit:
Rb  0.000  0.238  0.250
Tb  0.000  0.000  0.000
Bi  0.000  0.459  0.750
Te  0.000  0.089  0.750
Te  0.000  0.374  0.527

(6)
# RbTcBi

A relaxed RbTcBi crystal (GGA-PBE, OQMD).

Output
Energy above the lowest structure with this stoichiometry in meV per atom: 0
Magnetization in μB/f.u.: 0.98
Crystal system: cubic
Mass density in kg/m³: 7606

Lattice parameters (Å, degrees): 6.998 6.998 6.998 90.00 90.00 90.00
Space group F-43m (No. 216)
Asymmetric unit:
Rb  0.000  0.000  0.000
Tc  0.250  0.250  0.750
Bi  0.000  0.000  0.500

(7)
# RbTcBi

A relaxed RbTcBi crystal (GGA-PBE, OQMD).

Output
Energy above the lowest structure with this stoichiometry in meV per atom: 715
Magnetization in μB/f.u.: 4.22
Crystal system: cubic
Mass density in kg/m³: 5758

Lattice parameters (Å, degrees): 7.678 7.678 7.678 90.00 90.00 90.00
Space group F-43m (No. 216)
Asymmetric unit:
Rb  0.000  0.000  0.000
Tc  0.250  0.250  0.250
Bi  0.250  0.250  0.750

(8)
# RbTmBiTe3

A relaxed RbTmBiTe3 crystal (GGA-PBE, OQMD).

Output
Magnetization in μB/f.u.: 0.00
Crystal system: orthorhombic
Mass density in kg/m³: 6162

Lattice parameters (Å, degrees): 4.375 17.383 11.993 90.00 90.00 90.00
Space group Cmcm (No. 63)
Asymmetric unit:
Rb  0.000  0.240  0.250
Tm  0.000  0.000  0.000
Bi  0.000  0.453  0.750
Te  0.000  0.084  0.750
Te  0.000  0.376  0.523

(9)
# RbZnBiTe3

A relaxed RbZnBiTe3 crystal (GGA-PBE, OQMD).

Output
Crystal system: orthorhombic
Mass density in kg/m³: 5638

Lattice parameters (Å, degrees): 4.513 16.276 11.910 90.00 90.00 90.00
Space group Cmcm (No. 63)
Asymmetric unit:
Rb  0.000  0.246  0.250
Zn  0.000  0.043  0.750
Bi  0.000  0.500  0.000
Te  0.000  0.129  0.558
Te  0.000  0.440  0.750

(10)
# RbUBi

A relaxed RbUBi crystal (GGA-PBE, OQMD).

Output
Magnetization in μB/f.u.: 3.99
Crystal system: cubic
Mass density in kg/m³: 7142

Lattice parameters (Å, degrees): 7.911 7.911 7.911 90.00 90.00 90.00
Space group F-43m (No. 216)
Asymmetric unit:
Rb  0.000  0.000  0.000
U  0.250  0.250  0.250
Bi  0.000  0.000  0.500

(11)
# RbBi5W3

A relaxed RbBi5W3 crystal (GGA-PBE, OQMD).

Output
Magnetization in μB/f.u.: 0.00
Crystal system: hexagonal
Mass density in kg/m³: 10709

Lattice parameters (Å, degrees): 5.7363 5.7363 9.1521 90.00 90.00 120.00
Space group P6/mmm (No. 191)
Asymmetric unit:
Rb  0.0000  0.0000  0.0000
Bi  0.0000  0.0000  0.5000
Bi  0.3333  0.6667  0.2306
W  0.0000  0.5000  0.5000

(12)
# RbZr3Bi5

A relaxed RbZr3Bi5 crystal (GGA-PBE, OQMD).

Output
Magnetization in μB/f.u.: 0.00
Crystal system: hexagonal
Mass density in kg/m³: 7886

Lattice parameters (Å, degrees): 6.1055 6.1055 9.1575 90.00 90.00 120.00
Space group P6/mmm (No. 191)
Asymmetric unit:
Rb  0.0000  0.0000  0.0000
Zr  0.0000  0.5000  0.5000
Bi  0.0000  0.0000  0.5000
Bi  0.3333  0.6667  0.2184

(13)
# ReBi3

A relaxed ReBi3 crystal (GGA-PBE, OQMD).

Output
Magnetization in μB/f.u.: 0.00
Crystal system: orthorhombic
Mass density in kg/m³: 11739

Lattice parameters (Å, degrees): 9.194 4.229 11.833 90.00 90.00 90.00
Space group Pnma (No. 62)
Asymmetric unit:
Re  0.074  0.250  0.017
Bi  0.093  0.750  0.191
Bi  0.137  0.750  0.601
Bi  0.219  0.750  0.886

(14)
# Re3Bi

A relaxed Re3Bi crystal (GGA-PBE, OQMD).

Output
Magnetization in μB/f.u.: 0.10
Crystal system: hexagonal
Mass density in kg/m³: 16614

Lattice parameters (Å, degrees): 4.7608 4.7608 7.8180 90.00 90.00 120.00
Space group P6_3/mmc (No. 194)
Asymmetric unit:
Re  0.0000  0.0000  0.2500
Re  0.3333  0.6667  0.1048
Bi  0.3333  0.6667  0.7500

(15)
# ReBiSb

A relaxed ReBiSb crystal (GGA-PBE, OQMD).

Output
Energy above the lowest structure with this stoichiometry in meV per atom: 0
Magnetization in μB/f.u.: 0.04
Crystal system: cubic
Mass density in kg/m³: 11823

Lattice parameters (Å, degrees): 6.622 6.622 6.622 90.00 90.00 90.00
Space group F-43m (No. 216)
Asymmetric unit:
Re  0.000  0.000  0.000
Bi  0.250  0.250  0.750
Sb  0.250  0.250  0.250

(16)
# ScReBi

A relaxed ScReBi crystal (GGA-PBE, OQMD).

Output
Energy above the lowest structure with this stoichiometry in meV per atom: 435
Magnetization in μB/f.u.: 0.00
Crystal system: cubic
Mass density in kg/m³: 10402

Lattice parameters (Å, degrees): 6.550 6.550 6.550 90.00 90.00 90.00
Space group F-43m (No. 216)
Asymmetric unit:
Sc  0.000  0.000  0.000
Re  0.250  0.250  0.250
Bi  0.250  0.250  0.750

(17)
# ScReBi2

A relaxed ScReBi2 crystal (GGA-PBE, OQMD).

Output
Magnetization in μB/f.u.: 0.01
Crystal system: cubic
Mass density in kg/m³: 12101

Lattice parameters (Å, degrees): 7.089 7.089 7.089 90.00 90.00 90.00
Space group F-43m (No. 216)
Asymmetric unit:
Sc  0.000  0.000  0.000
Re  0.250  0.250  0.250
Bi  0.000  0.000  0.500
Bi  0.250  0.250  0.750

(18)
# ScReBi

A relaxed ScReBi crystal (GGA-PBE, OQMD).

Output
Energy above the lowest structure with this stoichiometry in meV per atom: 0
Magnetization in μB/f.u.: 0.00
Crystal system: cubic
Mass density in kg/m³: 10490

Lattice parameters (Å, degrees): 6.532 6.532 6.532 90.00 90.00 90.00
Space group F-43m (No. 216)
Asymmetric unit:
Sc  0.000  0.000  0.000
Re  0.250  0.250  0.750
Bi  0.000  0.000  0.500

(19)
# ScRe2Bi

A relaxed ScRe2Bi crystal (GGA-PBE, OQMD).

Output
Magnetization in μB/f.u.: 0.03
Crystal system: cubic
Mass density in kg/m³: 14111

Lattice parameters (Å, degrees): 6.656 6.656 6.656 90.00 90.00 90.00
Space group F-43m (No. 216)
Asymmetric unit:
Sc  0.000  0.000  0.000
Re  0.000  0.000  0.500
Re  0.250  0.250  0.250
Bi  0.250  0.250  0.750

(20)
# ReSiBi

A relaxed ReSiBi crystal (GGA-PBE, OQMD).

Output
Energy above the lowest structure with this stoichiometry in meV per atom: 0
Magnetization in μB/f.u.: 0.00
Crystal system: cubic
Mass density in kg/m³: 11139

Lattice parameters (Å, degrees): 6.320 6.320 6.320 90.00 90.00 90.00
Space group F-43m (No. 216)
Asymmetric unit:
Re  0.000  0.000  0.000
Si  0.250  0.250  0.250
Bi  0.250  0.250  0.750

Per-record E, eV per atom: -3.97; -4.33; -6.32; -3.56; -3.94; -4.00; -3.28; -3.88; -3.18; -4.46; -6.30; -5.52; -5.87; -8.64; -6.22; -6.76; -6.19; -7.19; -8.22; -6.51